Entry 1:
# KNa3Ge | Alexandria via LeMat-Bulk | PBEsol | relaxed
data_KNa3Ge
_chemical_formula_sum 'K1 Na3 Ge1'
_symmetry_space_group_name_H-M 'P 1'
_symmetry_Int_Tables_number 1
_symmetry_space_group_name_Hall 'P 1'
_cell_length_a 5.705
_cell_length_b 5.705
_cell_length_c 5.705
_cell_angle_alpha 90.00
_cell_angle_beta 90.00
_cell_angle_gamma 90.00
loop_
_atom_site_label
_atom_site_fract_x
_atom_site_fract_y
_atom_site_fract_z
Ge1 0.000 0.000 0.000
Na1 0.000 0.500 0.000
K1 0.500 0.500 0.500
Na2 0.000 0.000 0.500
Na3 0.500 0.000 0.000
# DFT formation energy = 0.017 eV per atom
# symmetry = No. 221

Entry 2:
# K3Nb3Ge2O13 | Alexandria via LeMat-Bulk | PBEsol | relaxed
data_K3Nb3Ge2O13
_chemical_formula_sum 'K6 Nb6 Ge4 O26'
_symmetry_space_group_name_H-M 'P 1'
_symmetry_Int_Tables_number 1
_symmetry_space_group_name_Hall 'P 1'
_cell_length_a 7.796
_cell_length_b 9.319
_cell_length_c 9.319
_cell_angle_alpha 120.00
_cell_angle_beta 90.00
_cell_angle_gamma 90.00
loop_
_atom_site_label
_atom_site_fract_x
_atom_site_fract_y
_atom_site_fract_z
O1 0.707 0.704 0.526
Ge1 0.774 0.667 0.333
O2 0.218 0.173 0.173
Nb1 0.750 0.232 0.000
O3 0.500 0.000 0.205
O4 0.000 0.333 0.667
Nb2 0.250 0.232 0.000
O5 0.218 0.827 0.000
O6 0.000 0.667 0.333
O7 0.500 0.795 0.795
O8 0.782 0.827 0.000
O9 0.707 0.822 0.296
O10 0.500 0.205 0.000
O11 0.000 0.000 0.282
O12 0.707 0.474 0.178
K1 0.000 0.000 0.605
O13 0.782 0.000 0.827
O14 0.293 0.178 0.474
Ge2 0.226 0.333 0.667
Nb3 0.250 0.768 0.768
O15 0.707 0.296 0.822
O16 0.218 0.000 0.827
O17 0.707 0.526 0.704
K2 0.500 0.609 0.000
O18 0.000 0.718 0.718
O19 0.782 0.173 0.173
Nb4 0.750 0.768 0.768
O20 0.293 0.822 0.296
O21 0.293 0.474 0.178
Nb5 0.250 0.000 0.232
Ge3 0.774 0.333 0.667
O22 0.000 0.282 0.000
O23 0.293 0.526 0.704
O24 0.707 0.178 0.474
Ge4 0.226 0.667 0.333
O25 0.293 0.704 0.526
K3 0.000 0.605 0.000
K4 0.000 0.395 0.395
K5 0.500 0.000 0.609
Nb6 0.750 0.000 0.232
O26 0.293 0.296 0.822
K6 0.500 0.391 0.391
# symmetry = No. 189
# DFT total energy = -7.636 eV/atom

Entry 3:
# KNdGeS4 | Alexandria via LeMat-Bulk | PBEsol | relaxed
data_KNdGeS4
_chemical_formula_sum 'K2 Nd2 Ge2 S8'
_symmetry_space_group_name_H-M 'P 1'
_symmetry_Int_Tables_number 1
_symmetry_space_group_name_Hall 'P 1'
_cell_length_a 6.549
_cell_length_b 6.648
_cell_length_c 8.640
_cell_angle_alpha 90.00
_cell_angle_beta 107.53
_cell_angle_gamma 90.00
loop_
_atom_site_label
_atom_site_fract_x
_atom_site_fract_y
_atom_site_fract_z
S1 0.578 0.971 0.342
Nd1 0.228 0.004 0.052
Ge1 0.778 0.974 0.180
K1 0.733 0.490 0.435
S2 0.983 0.246 0.212
K2 0.267 0.990 0.565
Ge2 0.222 0.474 0.820
S3 0.422 0.416 0.073
Nd2 0.772 0.504 0.948
S4 0.422 0.471 0.658
S5 0.578 0.916 0.927
S6 0.017 0.746 0.788
S7 0.975 0.233 0.773
S8 0.025 0.733 0.227
# symmetry = No. 4
# DFT total energy = -5.388 eV/atom

Entry 4:
# KYNiGe2 | Alexandria via LeMat-Bulk | PBEsol | relaxed
data_KYNiGe2
_chemical_formula_sum 'K1 Y1 Ni1 Ge2'
_symmetry_space_group_name_H-M 'P 1'
_symmetry_Int_Tables_number 1
_symmetry_space_group_name_Hall 'P 1'
_cell_length_a 4.840
_cell_length_b 5.477
_cell_length_c 5.477
_cell_angle_alpha 90.00
_cell_angle_beta 90.00
_cell_angle_gamma 90.00
loop_
_atom_site_label
_atom_site_fract_x
_atom_site_fract_y
_atom_site_fract_z
Ge1 0.000 0.500 0.000
Ge2 0.000 0.000 0.500
Ni1 0.500 0.000 0.000
Y1 0.000 0.000 0.000
K1 0.500 0.500 0.500
# DFT formation energy = 0.618 eV per atom
# symmetry = No. 123

Entry 5:
# KGe3O | Alexandria via LeMat-Bulk | PBEsol | relaxed
data_KGe3O
_chemical_formula_sum 'K1 Ge3 O1'
_symmetry_space_group_name_H-M 'P 1'
_symmetry_Int_Tables_number 1
_symmetry_space_group_name_Hall 'P 1'
_cell_length_a 4.600
_cell_length_b 4.600
_cell_length_c 4.600
_cell_angle_alpha 90.00
_cell_angle_beta 90.00
_cell_angle_gamma 90.00
loop_
_atom_site_label
_atom_site_fract_x
_atom_site_fract_y
_atom_site_fract_z
Ge1 0.000 0.000 0.500
K1 0.500 0.500 0.500
Ge2 0.500 0.000 0.000
Ge3 0.000 0.500 0.000
O1 0.000 0.000 0.000
# symmetry = No. 221
# DFT total energy = -4.180 eV/atom

Entry 6:
# K4GeO4 | Alexandria via LeMat-Bulk | PBEsol | relaxed
data_K4GeO4
_chemical_formula_sum 'K8 Ge2 O8'
_symmetry_space_group_name_H-M 'P 1'
_symmetry_Int_Tables_number 1
_symmetry_space_group_name_Hall 'P 1'
_cell_length_a 6.312
_cell_length_b 6.387
_cell_length_c 9.317
_cell_angle_alpha 72.24
_cell_angle_beta 80.16
_cell_angle_gamma 66.54
loop_
_atom_site_label
_atom_site_fract_x
_atom_site_fract_y
_atom_site_fract_z
K1 0.747 0.916 0.346
O1 0.389 0.332 0.399
K2 0.222 0.995 0.059
Ge1 0.237 0.342 0.251
K3 0.279 0.538 0.877
K4 0.721 0.462 0.123
K5 0.252 0.729 0.467
K6 0.748 0.271 0.533
Ge2 0.763 0.658 0.749
O2 0.938 0.361 0.841
K7 0.253 0.084 0.654
O3 0.458 0.207 0.122
K8 0.778 0.005 0.941
O4 0.942 0.830 0.686
O5 0.542 0.793 0.878
O6 0.058 0.170 0.314
O7 0.611 0.668 0.601
O8 0.062 0.639 0.159
# symmetry = No. 2
# DFT total energy = -5.063 eV/atom

Entry 7:
# K4GeO4 | Alexandria via LeMat-Bulk | PBEsol | relaxed
data_K4GeO4
_chemical_formula_sum 'K16 Ge4 O16'
_symmetry_space_group_name_H-M 'P 1'
_symmetry_Int_Tables_number 1
_symmetry_space_group_name_Hall 'P 1'
_cell_length_a 6.537
_cell_length_b 10.405
_cell_length_c 10.462
_cell_angle_alpha 111.45
_cell_angle_beta 90.00
_cell_angle_gamma 90.00
loop_
_atom_site_label
_atom_site_fract_x
_atom_site_fract_y
_atom_site_fract_z
O1 0.837 0.136 0.480
K1 0.606 0.663 0.085
K2 0.591 0.442 0.305
O2 0.999 0.723 0.838
O3 0.532 0.803 0.638
O4 0.968 0.803 0.138
O5 0.499 0.277 0.662
K3 0.168 0.133 0.611
O6 0.758 0.422 0.033
K4 0.106 0.337 0.415
Ge1 0.133 0.742 0.992
O7 0.163 0.864 0.520
O8 0.501 0.723 0.338
K5 0.697 0.071 0.702
K6 0.332 0.133 0.111
Ge2 0.633 0.258 0.508
K7 0.668 0.867 0.889
O9 0.242 0.578 0.967
O10 0.001 0.277 0.162
K8 0.197 0.929 0.798
K9 0.091 0.558 0.195
K10 0.409 0.558 0.695
O11 0.468 0.197 0.362
O12 0.337 0.864 0.020
K11 0.894 0.663 0.585
O13 0.663 0.136 0.980
O14 0.032 0.197 0.862
O15 0.258 0.578 0.467
K12 0.394 0.337 0.915
K13 0.303 0.929 0.298
K14 0.832 0.867 0.389
O16 0.742 0.422 0.533
Ge3 0.867 0.258 0.008
K15 0.909 0.442 0.805
Ge4 0.367 0.742 0.492
K16 0.803 0.071 0.202
# symmetry = No. 14
# DFT total energy = -5.063 eV/atom

Entry 8:
# K2Ge2O3 | Alexandria via LeMat-Bulk | PBEsol | relaxed
data_K2Ge2O3
_chemical_formula_sum 'K4 Ge4 O6'
_symmetry_space_group_name_H-M 'P 1'
_symmetry_Int_Tables_number 1
_symmetry_space_group_name_Hall 'P 1'
_cell_length_a 6.922
_cell_length_b 6.922
_cell_length_c 6.922
_cell_angle_alpha 109.47
_cell_angle_beta 109.47
_cell_angle_gamma 109.47
loop_
_atom_site_label
_atom_site_fract_x
_atom_site_fract_y
_atom_site_fract_z
O1 0.250 0.758 0.508
Ge1 0.532 0.532 0.032
K1 0.000 0.500 0.994
O2 0.758 0.008 0.750
K2 0.006 0.006 0.506
Ge2 0.000 0.500 0.468
K3 0.500 0.494 0.500
K4 0.494 0.000 0.000
O3 0.492 0.750 0.242
Ge3 0.500 0.968 0.500
O4 0.742 0.492 0.250
O5 0.008 0.250 0.258
Ge4 0.968 0.000 0.000
O6 0.750 0.742 0.992
# symmetry = No. 199
# DFT total energy = -5.475 eV/atom

Entry 9:
# KGeO3 | Alexandria via LeMat-Bulk | PBEsol | relaxed
data_KGeO3
_chemical_formula_sum 'K1 Ge1 O3'
_symmetry_space_group_name_H-M 'P 1'
_symmetry_Int_Tables_number 1
_symmetry_space_group_name_Hall 'P 1'
_cell_length_a 4.408
_cell_length_b 4.408
_cell_length_c 4.408
_cell_angle_alpha 90.00
_cell_angle_beta 90.00
_cell_angle_gamma 90.00
loop_
_atom_site_label
_atom_site_fract_x
_atom_site_fract_y
_atom_site_fract_z
Ge1 0.500 0.500 0.500
O1 0.000 0.000 0.500
O2 0.000 0.500 0.000
K1 0.000 0.000 0.000
O3 0.500 0.000 0.000
# symmetry = No. 221
# DFT total energy = -3.462 eV/atom

Entry 10:
# KGePO5 | Alexandria via LeMat-Bulk | PBEsol | relaxed
data_KGePO5
_chemical_formula_sum 'K8 Ge8 P8 O40'
_symmetry_space_group_name_H-M 'P 1'
_symmetry_Int_Tables_number 1
_symmetry_space_group_name_Hall 'P 1'
_cell_length_a 6.312
_cell_length_b 10.100
_cell_length_c 12.643
_cell_angle_alpha 90.00
_cell_angle_beta 90.00
_cell_angle_gamma 90.00
loop_
_atom_site_label
_atom_site_fract_x
_atom_site_fract_y
_atom_site_fract_z
O1 0.311 0.533 0.108
O2 0.969 0.636 0.224
Ge1 0.498 0.002 0.370
K1 0.811 0.065 0.609
O3 0.187 0.229 0.599
Ge2 0.746 0.753 0.751
O4 0.985 0.632 0.014
P1 0.996 0.504 0.680
O5 0.015 0.132 0.986
P2 0.666 0.751 0.498
O6 0.689 0.033 0.892
O7 0.960 0.623 0.755
K2 0.778 0.310 0.380
O8 0.540 0.623 0.255
P3 0.504 0.504 0.180
O9 0.304 0.973 0.891
O10 0.687 0.729 0.901
O11 0.192 0.274 0.404
O12 0.024 0.376 0.017
Ge3 0.254 0.253 0.249
K3 0.222 0.810 0.620
O13 0.696 0.473 0.109
K4 0.189 0.565 0.391
O14 0.454 0.378 0.731
O15 0.485 0.132 0.486
O16 0.961 0.889 0.242
O17 0.811 0.033 0.392
Ge4 0.998 0.502 0.130
O18 0.546 0.878 0.269
O19 0.031 0.136 0.776
O20 0.524 0.876 0.483
Ge5 0.002 0.002 0.870
O21 0.039 0.389 0.758
Ge6 0.502 0.502 0.630
O22 0.476 0.376 0.517
P4 0.496 0.004 0.820
O23 0.308 0.274 0.904
K5 0.689 0.065 0.109
P5 0.004 0.004 0.320
P6 0.166 0.251 0.002
O24 0.189 0.533 0.608
O25 0.808 0.774 0.596
O26 0.460 0.123 0.745
O27 0.692 0.774 0.096
Ge7 0.754 0.753 0.251
K6 0.278 0.810 0.120
O28 0.040 0.123 0.245
O29 0.539 0.889 0.742
K7 0.311 0.565 0.891
O30 0.954 0.878 0.769
O31 0.196 0.973 0.391
O32 0.046 0.378 0.231
K8 0.722 0.310 0.880
Ge8 0.246 0.253 0.749
O33 0.804 0.473 0.609
O34 0.515 0.632 0.514
O35 0.461 0.389 0.258
O36 0.531 0.636 0.724
O37 0.313 0.229 0.099
O38 0.813 0.729 0.401
O39 0.469 0.136 0.276
P7 0.334 0.251 0.502
O40 0.976 0.876 0.983
P8 0.834 0.751 0.998
# symmetry = No. 33
# DFT total energy = -6.854 eV/atom

Entry 11:
# K2TiGeP2O10 | Alexandria via LeMat-Bulk | PBEsol | relaxed
data_K2TiGeP2O10
_chemical_formula_sum 'K8 Ti4 Ge4 P8 O40'
_symmetry_space_group_name_H-M 'P 1'
_symmetry_Int_Tables_number 1
_symmetry_space_group_name_Hall 'P 1'
_cell_length_a 6.426
_cell_length_b 10.347
_cell_length_c 12.613
_cell_angle_alpha 90.00
_cell_angle_beta 90.00
_cell_angle_gamma 90.00
loop_
_atom_site_label
_atom_site_fract_x
_atom_site_fract_y
_atom_site_fract_z
O1 0.313 0.558 0.385
O2 0.458 0.142 0.760
O3 0.813 0.058 0.115
O4 0.556 0.897 0.227
K1 0.195 0.582 0.105
Ge1 0.246 0.273 0.754
O5 0.687 0.058 0.615
K2 0.779 0.329 0.120
O6 0.309 0.292 0.599
O7 0.541 0.909 0.759
Ti1 0.502 0.524 0.868
O8 0.459 0.409 0.241
Ge2 0.754 0.773 0.246
O9 0.187 0.558 0.885
Ge3 0.254 0.273 0.254
O10 0.041 0.409 0.741
O11 0.545 0.654 0.772
K3 0.221 0.829 0.880
K4 0.721 0.329 0.620
P1 0.997 0.526 0.816
O12 0.806 0.496 0.885
P2 0.835 0.775 0.499
O13 0.455 0.154 0.228
O14 0.056 0.397 0.273
K5 0.805 0.082 0.895
Ti2 0.498 0.024 0.132
O15 0.809 0.792 0.901
O16 0.688 0.755 0.596
Ti3 0.998 0.524 0.368
O17 0.694 0.496 0.385
P3 0.497 0.026 0.684
O18 0.014 0.161 0.514
O19 0.986 0.661 0.486
P4 0.335 0.275 0.001
O20 0.444 0.397 0.773
P5 0.165 0.275 0.501
O21 0.966 0.900 0.510
P6 0.665 0.775 0.999
O22 0.042 0.142 0.260
P7 0.003 0.026 0.184
Ge4 0.746 0.773 0.746
O23 0.542 0.642 0.240
O24 0.959 0.909 0.259
O25 0.955 0.654 0.272
O26 0.958 0.642 0.740
O27 0.045 0.154 0.728
K6 0.305 0.582 0.605
O28 0.466 0.400 0.990
O29 0.194 0.996 0.115
P8 0.503 0.526 0.316
O30 0.534 0.900 0.010
O31 0.034 0.400 0.490
O32 0.306 0.996 0.615
O33 0.944 0.897 0.727
K7 0.695 0.082 0.395
O34 0.691 0.792 0.401
O35 0.486 0.161 0.014
Ti4 0.002 0.024 0.632
O36 0.191 0.292 0.099
O37 0.188 0.255 0.904
K8 0.279 0.829 0.380
O38 0.514 0.661 0.986
O39 0.812 0.755 0.096
O40 0.312 0.255 0.404
# symmetry = No. 33
# DFT total energy = -7.353 eV/atom

Entry 12:
# KGeRh2O | Alexandria via LeMat-Bulk | PBEsol | relaxed
data_KGeRh2O
_chemical_formula_sum 'K1 Ge1 Rh2 O1'
_symmetry_space_group_name_H-M 'P 1'
_symmetry_Int_Tables_number 1
_symmetry_space_group_name_Hall 'P 1'
_cell_length_a 4.484
_cell_length_b 4.484
_cell_length_c 6.301
_cell_angle_alpha 90.00
_cell_angle_beta 90.00
_cell_angle_gamma 90.00
loop_
_atom_site_label
_atom_site_fract_x
_atom_site_fract_y
_atom_site_fract_z
K1 0.000 0.000 0.500
Rh1 0.500 0.000 0.000
Rh2 0.000 0.500 0.000
Ge1 0.000 0.000 0.000
O1 0.500 0.500 0.500
# symmetry = No. 123
# DFT total energy = -4.585 eV/atom